# 1
Here is a geometry-optimized AcBeFe structure from OQMD via LeMat-Bulk. Energies are from PBE.

Results
Energy above the lowest structure with this stoichiometry = 759 meV/atom

Geometry as POSCAR:
```
AcBeFe
1.0
-2.574 -3.822 -0.314
-1.836 -1.866 3.804
-4.558 0.221 0.711
Ac Be Fe
1 1 1
direct
0.000 0.000 0.000
0.250 0.250 0.250
0.750 0.750 0.750
```

# 2
Here is a geometry-optimized NdSi2Au4 structure from OQMD via LeMat-Bulk. Energies are from PBE.

Geometry as POSCAR:
```
NdSi2Au4
1.0
2.189 -6.975 0.000
2.189 6.975 0.000
0.000 0.000 4.367
Au Nd Si
4 1 2
direct
0.675 0.325 0.000
0.325 0.675 0.000
0.827 0.173 0.500
0.173 0.827 0.500
0.000 0.000 0.000
0.585 0.415 0.500
0.415 0.585 0.500
```

# 3
Here is a geometry-optimized La2Mg4AgPd structure from OQMD via LeMat-Bulk. Energies are from PBE.

Geometry as POSCAR:
```
La2Mg4AgPd
1.0
-4.328 -4.460 -5.543
-3.011 -2.363 4.253
-4.857 1.349 2.708
Ag La Mg Pd
1 2 4 1
direct
0.000 0.772 0.772
0.000 0.060 0.060
0.500 0.941 0.941
0.202 0.350 0.350
0.798 0.350 0.350
0.310 0.651 0.651
0.690 0.651 0.651
0.500 0.225 0.225
```

# 4
Here is a geometry-optimized DyEr2Mg3Ir2Au structure from OQMD via LeMat-Bulk. Energies are from PBE.

Geometry as POSCAR:
```
DyEr2Mg3Ir2Au
1.0
-3.875 -1.017 -0.158
1.471 -4.759 -5.442
0.295 -2.220 7.029
Au Dy Er Ir Mg
1 1 2 2 3
direct
0.000 0.999 0.999
0.000 0.418 0.418
0.000 0.582 0.000
0.000 0.000 0.582
0.500 0.668 0.333
0.500 0.333 0.668
0.500 0.999 0.254
0.500 0.747 0.747
0.500 0.254 0.999
```

# 5
Here is a geometry-optimized Cd2OF2 structure from OQMD via LeMat-Bulk. Energies are from PBE.

Results
Energy above the lowest structure with this stoichiometry = 326 meV/atom

Geometry as POSCAR:
```
Cd2OF2
1.0
0.888 0.000 -4.414
-4.216 -3.641 0.194
-4.216 3.641 0.194
Cd F O
4 4 2
direct
0.500 0.809 0.191
0.900 0.278 0.278
0.100 0.722 0.722
0.500 0.191 0.809
0.794 0.617 0.015
0.206 0.985 0.383
0.794 0.015 0.617
0.206 0.383 0.985
0.670 0.500 0.500
0.330 0.500 0.500
```

# 6
Here is a geometry-optimized Sm2NbFeSi2 structure from OQMD via LeMat-Bulk. Energies are from PBE.

Geometry as POSCAR:
```
Sm2NbFeSi2
1.0
3.965 0.000 0.000
0.000 3.965 0.000
0.000 0.000 7.660
Fe Nb Si Sm
1 1 2 2
direct
0.000 0.000 0.000
0.500 0.500 0.000
0.000 0.500 0.217
0.500 0.000 0.783
0.500 0.000 0.347
0.000 0.500 0.653
```

One value per record, in order, for uncorrected energy: -3.92, -4.58, -3.40, -5.07, -3.37, -6.96 eV per atom.
One value per record, in order, for volume: 69.6, 133.3, 194.4, 188.9, 134.3, 120.4 Å³ per cell.